(1)
Compound: Sc2MnReSi
Source: Alexandria via LeMat-Bulk
Functional: PBE-GGA
Structure: optimized geometry

abc: 4.8649 4.8649 4.4025
angles: 90.00 90.00 90.00
Space group P4/mmm (No. 123)
Inequivalent atoms, fractional coordinates:
Sc1 0.0000 0.5000 0.0000
Mn1 0.0000 0.0000 0.5000
Re1 0.5000 0.5000 0.5000
Si1 0.5000 0.5000 0.0000

Calculated values
raw total energy = -35.22 eV per formula unit

(2)
Compound: CaAsSeBr2
Source: Alexandria via LeMat-Bulk
Functional: PBE-GGA
Structure: optimized geometry

abc: 5.3787 5.3787 5.1975
angles: 90.00 90.00 90.00
Space group P4/mmm (No. 123)
Inequivalent atoms, fractional coordinates:
Ca1 0.0000 0.0000 0.0000
As1 0.5000 0.5000 0.0000
Se1 0.5000 0.5000 0.5000
Br1 0.0000 0.5000 0.5000

Calculated values
energy above the most stable polymorph in this dataset = 0.378 eV/atom

(3)
Compound: SmBe3Ru
Source: Alexandria via LeMat-Bulk
Functional: PBE-GGA
Structure: optimized geometry

abc: 4.2811 4.2811 4.2811
angles: 90.00 90.00 90.00
Space group Pm-3m (No. 221)
Inequivalent atoms, fractional coordinates:
Sm1 0.0000 0.0000 0.0000
Be1 0.0000 0.5000 0.5000
Ru1 0.5000 0.5000 0.5000

Calculated values
formation enthalpy at 0 K = -106 meV/atom

(4)
Compound: ZnNi4N
Source: Alexandria via LeMat-Bulk
Functional: PBE-GGA
Structure: optimized geometry

abc: 11.5005 4.5829 5.0623
angles: 90.00 105.92 90.00
Space group C2/c (No. 15)
Inequivalent atoms, fractional coordinates:
Zn1 0.0000 0.1086 0.2500
Ni1 0.0951 0.4087 0.9408
Ni2 0.1967 0.0782 0.6550
N1 0.2500 0.2500 0.0000

Calculated values
raw total energy = -33.21 eV per formula unit

(5)
Compound: DyYAl
Source: Alexandria via LeMat-Bulk
Functional: PBE-GGA
Structure: optimized geometry

abc: 5.0588 5.0588 24.7628
angles: 90.00 90.00 120.00
Space group R-3m (No. 166, hexagonal axes)
Inequivalent atoms, fractional coordinates:
Dy1 0.0000 0.0000 0.1255
Y1 0.0000 0.0000 0.3756
Al1 0.0000 0.0000 0.2501

Calculated values
energy above the most stable polymorph in this dataset = 0.242 eV/atom
formation enthalpy at 0 K = -39 meV/atom

(6)
Compound: ThSi2IrRh2
Source: Alexandria via LeMat-Bulk
Functional: PBE-GGA
Structure: optimized geometry

abc: 4.0466 4.0466 14.2643
angles: 90.00 90.00 90.00
Space group I4/mmm (No. 139)
Inequivalent atoms, fractional coordinates:
Th1 0.0000 0.0000 0.0000
Si1 0.0000 0.0000 0.3344
Ir1 0.0000 0.0000 0.5000
Rh1 0.0000 0.5000 0.2500

Calculated values
raw total energy = -47.07 eV per formula unit

(7)
Compound: Ti12TcGe6
Source: Alexandria via LeMat-Bulk
Functional: PBE-GGA
Structure: optimized geometry

abc: 12.4691 12.4691 6.8445
angles: 90.00 90.00 120.00
Space group R-3 (No. 148, hexagonal axes)
Inequivalent atoms, fractional coordinates:
Ti1 0.0023 0.8709 0.1812
Ti2 0.0570 0.4836 0.1659
Tc1 0.0000 0.0000 0.5000
Ge1 0.0227 0.7592 0.8462

Calculated values
formation enthalpy at 0 K = -382 meV/atom

(8)
Compound: NdTaCd2O6
Source: Alexandria via LeMat-Bulk
Functional: PBE-GGA
Structure: optimized geometry

abc: 5.7296 5.7296 15.0625
angles: 90.00 90.00 120.00
Space group R3 (No. 146, hexagonal axes)
Inequivalent atoms, fractional coordinates:
Nd1 0.0000 0.0000 0.0000
Ta1 0.0000 0.0000 0.5053
Cd1 0.0000 0.0000 0.2269
Cd2 0.0000 0.0000 0.7233
O1 0.0132 0.7326 0.5963
O2 0.0543 0.3511 0.1075

Calculated values
raw total energy = -70.86 eV per formula unit

(9)
Compound: Ag4Br2Cl
Source: Alexandria via LeMat-Bulk
Functional: PBE-GGA
Structure: optimized geometry

abc: 5.1596 5.1596 15.1268
angles: 90.00 90.00 90.00
Space group I4/mmm (No. 139)
Inequivalent atoms, fractional coordinates:
Ag1 0.0000 0.0000 0.0907
Ag2 0.0000 0.5000 0.0000
Br1 0.0000 0.0000 0.2556
Cl1 0.0000 0.0000 0.5000

Calculated values
raw total energy = -16.21 eV per formula unit

(10)
Compound: Na5Sn5Pb2
Source: Alexandria via LeMat-Bulk
Functional: PBE-GGA
Structure: optimized geometry

abc: 11.6771 5.3649 11.5255
angles: 90.00 109.80 90.00
Space group C2/m (No. 12)
Inequivalent atoms, fractional coordinates:
Na1 0.0000 0.0000 0.0000
Na2 0.0930 0.0000 0.7534
Na3 0.1614 0.0000 0.5028
Sn1 0.0000 0.5000 0.5000
Sn2 0.1831 0.5000 0.9617
Sn3 0.2487 0.0000 0.2704
Pb1 0.0879 0.5000 0.2421

Calculated values
formation enthalpy at 0 K = -135 meV/atom

(11)
Compound: ZrFeRu2
Source: Alexandria via LeMat-Bulk
Functional: PBE-GGA
Structure: optimized geometry

abc: 3.1702 4.3531 9.0032
angles: 90.00 90.00 90.00
Space group Imm2 (No. 44)
Inequivalent atoms, fractional coordinates:
Zr1 0.0000 0.0000 0.0000
Fe1 0.0000 0.5000 0.7567
Ru1 0.0000 0.0000 0.4925
Ru2 0.0000 0.5000 0.2435

Calculated values
formation enthalpy at 0 K = -52 meV/atom

(12)
Compound: TmScPd
Source: Alexandria via LeMat-Bulk
Functional: PBE-GGA
Structure: optimized geometry

abc: 4.7064 12.2117 7.0605
angles: 90.00 90.00 90.00
Space group Amm2 (No. 38)
Inequivalent atoms, fractional coordinates:
Tm1 0.0000 0.0000 0.0000
Tm2 0.0000 0.2044 0.3872
Sc1 0.5000 0.0000 0.3330
Sc2 0.5000 0.1294 0.7204
Pd1 0.0000 0.0000 0.5915
Pd2 0.5000 0.1665 0.0911

Calculated values
energy above the most stable polymorph in this dataset = 0.000 eV/atom
formation enthalpy at 0 K = -644 meV/atom

(13)
Compound: Ho2CuAs3
Source: Alexandria via LeMat-Bulk
Functional: PBE-GGA
Structure: optimized geometry

abc: 9.6078 9.6078 14.9610
angles: 90.00 90.00 90.00
Space group P4/mmm (No. 123)
Inequivalent atoms, fractional coordinates:
Ho1 0.0000 0.0000 0.1766
Cu1 0.0000 0.0000 0.5000
As1 0.0000 0.0000 0.0000
As2 0.0000 0.0000 0.3512

Calculated values
formation enthalpy at 0 K = 1102 meV/atom

(14)
Compound: La2Si2Au
Source: Alexandria via LeMat-Bulk
Functional: PBE-GGA
Structure: optimized geometry

abc: 7.2089 7.2089 4.5601
angles: 90.00 90.00 90.00
Space group P4/mbm (No. 127)
Inequivalent atoms, fractional coordinates:
La1 0.1773 0.3227 0.0000
Si1 0.1195 0.6195 0.5000
Au1 0.0000 0.0000 0.5000

Calculated values
energy above the most stable polymorph in this dataset = 0.077 eV/atom

(15)
Compound: Dy6ErPd3
Source: Alexandria via LeMat-Bulk
Functional: PBE-GGA
Structure: optimized geometry

abc: 11.3940 13.1825 7.1944
angles: 90.00 90.00 90.00
Space group Cmc2_1 (No. 36)
Inequivalent atoms, fractional coordinates:
Dy1 0.0000 0.0361 0.0000
Dy2 0.0000 0.2304 0.6379
Dy3 0.1686 0.4608 0.4889
Dy4 0.2270 0.1939 0.3343
Er1 0.0000 0.3201 0.1182
Pd1 0.0000 0.4233 0.7839
Pd2 0.1882 0.1008 0.7023

Calculated values
formation enthalpy at 0 K = -502 meV/atom

(16)
Compound: Li2GeHPb
Source: Alexandria via LeMat-Bulk
Functional: PBE-GGA
Structure: optimized geometry

abc: 4.2210 4.2210 4.5946
angles: 90.00 90.00 90.00
Space group P4/mmm (No. 123)
Inequivalent atoms, fractional coordinates:
Li1 0.0000 0.5000 0.0000
Ge1 0.0000 0.0000 0.5000
H1 0.0000 0.0000 0.0000
Pb1 0.5000 0.5000 0.5000

Calculated values
energy above the most stable polymorph in this dataset = 0.003 eV/atom

(17)
Compound: PmBiAu
Source: Alexandria via LeMat-Bulk
Functional: PBE-GGA
Structure: optimized geometry

abc: 8.4620 4.8632 8.7515
angles: 90.00 108.94 90.00
Space group C2/m (No. 12)
Inequivalent atoms, fractional coordinates:
Pm1 0.2412 0.0000 0.2209
Bi1 0.0000 0.0000 0.5000
Bi2 0.0000 0.5000 0.0000
Au1 0.1242 0.5000 0.3704

Calculated values
energy above the most stable polymorph in this dataset = 0.000 eV/atom
formation enthalpy at 0 K = -716 meV/atom

(18)
Compound: YFe2W2
Source: Alexandria via LeMat-Bulk
Functional: PBE-GGA
Structure: optimized geometry

abc: 7.4835 7.4835 2.8278
angles: 90.00 90.00 90.00
Space group P4/mbm (No. 127)
Inequivalent atoms, fractional coordinates:
Y1 0.0000 0.0000 0.0000
Fe1 0.1309 0.3691 0.0000
W1 0.1525 0.6525 0.5000

Calculated values
energy above the most stable polymorph in this dataset = 0.296 eV/atom
formation enthalpy at 0 K = 359 meV/atom

(19)
Compound: NdNi2H8
Source: Alexandria via LeMat-Bulk
Functional: PBE-GGA
Structure: optimized geometry

abc: 4.1502 4.1502 10.0284
angles: 90.00 90.00 90.00
Space group I4/mmm (No. 139)
Inequivalent atoms, fractional coordinates:
Nd1 0.0000 0.0000 0.0000
Ni1 0.0000 0.5000 0.2500
H1 0.2190 0.2190 0.3351

Calculated values
energy above the most stable polymorph in this dataset = 0.049 eV/atom

(20)
Compound: CsBiBAu2
Source: Alexandria via LeMat-Bulk
Functional: PBE-GGA
Structure: optimized geometry

abc: 6.2001 6.2001 7.4657
angles: 90.00 90.00 90.00
Space group P4/mmm (No. 123)
Inequivalent atoms, fractional coordinates:
Cs1 0.0000 0.0000 0.0000
Bi1 0.0000 0.0000 0.5000
B1 0.5000 0.5000 0.5000
Au1 0.0000 0.5000 0.0000

Calculated values
formation enthalpy at 0 K = 2155 meV/atom

(21)
Compound: InNiP2
Source: Alexandria via LeMat-Bulk
Functional: PBE-GGA
Structure: optimized geometry

abc: 7.2239 3.6026 5.7504
angles: 90.00 108.45 90.00
Space group Cm (No. 8)
Inequivalent atoms, fractional coordinates:
In1 0.0000 0.0000 0.0000
Ni1 0.3367 0.0000 0.5737
P1 0.1546 0.5000 0.6198
P2 0.2630 0.5000 0.2983

Calculated values
formation enthalpy at 0 K = -92 meV/atom

(22)
Compound: SrRu2C
Source: Alexandria via LeMat-Bulk
Functional: PBE-GGA
Structure: optimized geometry

abc: 6.0308 6.0308 8.8955
angles: 90.00 90.00 90.00
Space group I-42d (No. 122)
Inequivalent atoms, fractional coordinates:
Sr1 0.0000 0.0000 0.0000
Ru1 0.0505 0.2500 0.6250
C1 0.0000 0.0000 0.5000

Calculated values
formation enthalpy at 0 K = 438 meV/atom

(23)
Compound: Ce2YSc3P6
Source: Alexandria via LeMat-Bulk
Functional: PBE-GGA
Structure: optimized geometry

abc: 6.7895 11.7592 6.7342
angles: 90.00 109.63 90.00
Space group C2/m (No. 12)
Inequivalent atoms, fractional coordinates:
Ce1 0.0000 0.1666 0.0000
Y1 0.0000 0.5000 0.0000
Sc1 0.0000 0.0000 0.5000
Sc2 0.0000 0.3333 0.5000
P1 0.2434 0.5000 0.7316
P2 0.2447 0.1665 0.7333

Calculated values
formation enthalpy at 0 K = -1504 meV/atom

(24)
Compound: Ba2CdAu
Source: Alexandria via LeMat-Bulk
Functional: PBE-GGA
Structure: optimized geometry

abc: 4.1097 4.1097 8.4166
angles: 90.00 90.00 90.00
Space group P4/mmm (No. 123)
Inequivalent atoms, fractional coordinates:
Ba1 0.0000 0.0000 0.2325
Cd1 0.5000 0.5000 0.5000
Au1 0.5000 0.5000 0.0000

Calculated values
formation enthalpy at 0 K = -492 meV/atom

no.,DOS(E_F) (states/eV/f.u.)
1,7.87
2,4.16
3,3.02
4,3.79
5,4.82
6,2.33
7,18.63
8,0.00
9,4.99
10,4.67
11,4.59
12,3.94
13,6.85
14,4.21
15,11.33
16,1.22
17,1.34
18,5.08
19,0.95
20,7.37
21,1.45
22,3.04
23,8.80
24,3.67